No. 1
An optimized crystal structure of CaNbAu. Source: Alexandria, functional PBE.

Cell lengths 3.2302, 5.4216, 8.1554 Å; angles 75.13, 80.98, 85.19 degrees
With the nearest neighbours (Å) after each atom.
Fractional coordinates of all 6 atoms:
Ca: 0.0000 0.0000 0.0000  6 Au 3.00-3.33, 2 Ca 3.23
Ca: 0.1269 0.6090 0.7117  3 Au 3.12, 4 Nb 3.14-3.33, 2 Ca 3.23
Nb: 0.6076 0.1593 0.5731  1 Nb 2.37
Nb: 0.9106 0.4975 0.3514  1 Nb 2.37
Au: 0.3134 0.9512 0.3393  4 Nb 2.77-3.07, 1 Ca 3.03
Au: 0.5109 0.4760 0.0536  2 Nb 2.88-2.96, 4 Ca 3.00-3.13, 1 Au 3.22

Fermi-level density of states = 3.09 states/eV/f.u.
Magnetic moment = 0.000 μB per formula unit
Energy of formation = -0.020 eV per atom
Total DFT energy (no corrections) = -5.14 eV/atom
Space group = P1
Polymorph energy (0 for the lowest one) = 0.218 eV per atom

No. 2
An optimized crystal structure of BaSr3Ca. Source: Alexandria, functional PBE.

Cell lengths 10.2057, 10.2057, 13.7864 Å; angles 118.60, 118.60, 69.74 degrees
With the nearest neighbours (Å) after each atom.
Fractional coordinates of all 20 atoms:
Ba: 0.0079 0.9921 0.7500  4 Ca 4.10-4.14, 1 Ba 4.14, 4 Sr 4.17-4.18
Ba: 0.3630 0.6370 0.7500  6 Sr 4.07-4.38, 1 Ba 4.14, 2 Ca 4.26
Ba: 0.6370 0.3630 0.2500  6 Sr 4.07-4.38, 1 Ba 4.14, 2 Ca 4.26
Ba: 0.9921 0.0079 0.2500  4 Ca 4.10-4.14, 1 Ba 4.14, 4 Sr 4.17-4.18
Sr: 0.0568 0.3528 0.5876  2 Ca 3.92-4.19, 4 Sr 4.04-4.29, 2 Ba 4.07-4.18
Sr: 0.1591 0.5501 0.1792  2 Ca 3.92-4.27, 5 Sr 4.05-4.29, 2 Ba 4.17-4.38
Sr: 0.3322 0.3335 0.4108  6 Sr 4.04-4.42, 1 Ca 4.06, 1 Ba 4.12
Sr: 0.3335 0.3322 0.9108  6 Sr 4.04-4.42, 1 Ca 4.06, 1 Ba 4.12
Sr: 0.3528 0.0568 0.0876  2 Ca 3.92-4.19, 4 Sr 4.04-4.29, 2 Ba 4.07-4.18
Sr: 0.4499 0.8409 0.3208  2 Ca 3.92-4.27, 5 Sr 4.05-4.29, 2 Ba 4.17-4.38
Sr: 0.5501 0.1591 0.6792  2 Ca 3.92-4.27, 5 Sr 4.05-4.29, 2 Ba 4.17-4.38
Sr: 0.6472 0.9432 0.9124  2 Ca 3.92-4.19, 4 Sr 4.04-4.29, 2 Ba 4.07-4.18
Sr: 0.6665 0.6678 0.0892  6 Sr 4.04-4.42, 1 Ca 4.06, 1 Ba 4.12
Sr: 0.6678 0.6665 0.5892  6 Sr 4.04-4.42, 1 Ca 4.06, 1 Ba 4.12
Sr: 0.8409 0.4499 0.8208  2 Ca 3.92-4.27, 5 Sr 4.05-4.29, 2 Ba 4.17-4.38
Sr: 0.9432 0.6472 0.4124  2 Ca 3.92-4.19, 4 Sr 4.04-4.29, 2 Ba 4.07-4.18
Ca: 0.0950 0.7525 0.9482  5 Sr 3.92-4.27, 3 Ba 4.10-4.26
Ca: 0.2475 0.9050 0.5518  5 Sr 3.92-4.27, 3 Ba 4.10-4.26
Ca: 0.7525 0.0950 0.4482  5 Sr 3.92-4.27, 3 Ba 4.10-4.26
Ca: 0.9050 0.2475 0.0518  5 Sr 3.92-4.27, 3 Ba 4.10-4.26

Fermi-level density of states = 6.27 states/eV/f.u.
Magnetic moment = 0.000 μB per formula unit
Energy of formation = 0.056 eV per atom
Total DFT energy (no corrections) = -1.74 eV/atom
Space group = C2/c
Polymorph energy (0 for the lowest one) = 0.006 eV per atom

No. 3
An optimized crystal structure of ReOsSe. Source: Alexandria, functional PBE.

Cell lengths 2.9010, 2.9010, 6.2886 Å; angles 90.00, 90.00, 120.00 degrees
With the nearest neighbours (Å) after each atom.
Fractional coordinates of all 3 atoms:
Re: 0.0000 0.0000 0.0000  3 Os 2.65, 3 Se 2.66, 6 Re 2.90
Os: 0.6667 0.3333 0.6737  3 Re 2.65, 3 Se 2.75, 6 Os 2.90
Se: 0.3333 0.6667 0.3277  3 Re 2.66, 3 Os 2.75, 6 Se 2.90

Fermi-level density of states = 1.62 states/eV/f.u.
Magnetic moment = 0.000 μB per formula unit
Total DFT energy (no corrections) = -8.65 eV/atom
Space group = P3m1
E_form (uncorrected) = 1.21 eV per formula unit
Polymorph energy (0 for the lowest one) = 0.000 eV per atom